(1)
{
  "formula": "KLi2IrN",
  "functional": "PBE",
  "state": "optimized geometry",
  "lattice": [[4.680, 0.000, 0.000], [0.000, 4.680, 0.000], [0.000, 0.000, 3.829]],
  "species": ["K", "Li", "Li", "Ir", "N"],
  "fractional_positions": [[0.000, 0.000, 0.000], [0.000, 0.500, 0.500], [0.500, 0.000, 0.500], [0.500, 0.500, 0.000], [0.500, 0.500, 0.500]],
  "total_energy_ev_per_atom": -4.45,
  "spacegroup": "No. 123",
  "e_form_raw_ev_per_atom": -0.0257
}

(2)
{
  "formula": "K3LiIrO4",
  "functional": "PBE",
  "state": "optimized geometry",
  "lattice": [[5.415, -4.913, 0.000], [5.415, 4.913, 0.000], [-1.459, 0.000, 5.813]],
  "species": ["K", "K", "K", "K", "K", "K", "Li", "Li", "Ir", "Ir", "O", "O", "O", "O", "O", "O", "O", "O"],
  "fractional_positions": [[0.095, 0.905, 0.750], [0.257, 0.434, 0.528], [0.434, 0.257, 0.028], [0.566, 0.743, 0.972], [0.743, 0.566, 0.472], [0.905, 0.095, 0.250], [0.233, 0.767, 0.250], [0.767, 0.233, 0.750], [0.000, 0.500, 0.000], [0.500, 0.000, 0.500], [0.019, 0.297, 0.745], [0.235, 0.587, 0.969], [0.297, 0.019, 0.245], [0.413, 0.765, 0.531], [0.587, 0.235, 0.469], [0.703, 0.981, 0.755], [0.765, 0.413, 0.031], [0.981, 0.703, 0.255]],
  "total_energy_ev_per_atom": -5.11,
  "spacegroup": "No. 15",
  "e_form_raw_ev_per_atom": -1.3420
}

(3)
{
  "formula": "KLi2IrO4",
  "functional": "PBE",
  "state": "optimized geometry",
  "lattice": [[5.307, 0.000, 0.000], [0.000, 5.307, 0.000], [0.000, 0.000, 7.966]],
  "species": ["K", "K", "Li", "Li", "Li", "Li", "Ir", "Ir", "O", "O", "O", "O", "O", "O", "O", "O"],
  "fractional_positions": [[0.000, 0.000, 0.000], [0.500, 0.500, 0.500], [0.000, 0.500, 0.250], [0.000, 0.500, 0.750], [0.500, 0.000, 0.250], [0.500, 0.000, 0.750], [0.000, 0.000, 0.500], [0.500, 0.500, 0.000], [0.188, 0.188, 0.343], [0.188, 0.812, 0.657], [0.312, 0.312, 0.843], [0.312, 0.688, 0.157], [0.688, 0.312, 0.157], [0.688, 0.688, 0.843], [0.812, 0.188, 0.657], [0.812, 0.812, 0.343]],
  "total_energy_ev_per_atom": -5.40,
  "spacegroup": "No. 121",
  "e_form_raw_ev_per_atom": -1.1999
}

(4)
{
  "formula": "K2Li2IrO4",
  "functional": "PBE",
  "state": "optimized geometry",
  "lattice": [[5.926, -1.666, 0.000], [5.926, 1.666, 0.000], [-1.917, 0.000, 5.721]],
  "species": ["K", "K", "Li", "Li", "Ir", "O", "O", "O", "O"],
  "fractional_positions": [[0.136, 0.136, 0.054], [0.864, 0.864, 0.946], [0.322, 0.322, 0.501], [0.678, 0.678, 0.499], [0.000, 0.000, 0.500], [0.185, 0.185, 0.645], [0.486, 0.486, 0.700], [0.514, 0.514, 0.300], [0.815, 0.815, 0.355]],
  "total_energy_ev_per_atom": -5.21,
  "spacegroup": "No. 12",
  "e_form_raw_ev_per_atom": -1.3524
}

(5)
{
  "formula": "K2LiIrO4",
  "functional": "PBE",
  "state": "optimized geometry",
  "lattice": [[6.089, 0.000, 0.000], [0.000, 6.089, 0.000], [0.000, 0.000, 7.019]],
  "species": ["K", "K", "K", "K", "Li", "Li", "Ir", "Ir", "O", "O", "O", "O", "O", "O", "O", "O"],
  "fractional_positions": [[0.000, 0.000, 0.000], [0.000, 0.500, 0.250], [0.500, 0.000, 0.750], [0.500, 0.500, 0.500], [0.000, 0.000, 0.500], [0.500, 0.500, 0.000], [0.000, 0.500, 0.750], [0.500, 0.000, 0.250], [0.127, 0.228, 0.688], [0.228, 0.873, 0.312], [0.272, 0.627, 0.812], [0.373, 0.272, 0.188], [0.627, 0.728, 0.188], [0.728, 0.373, 0.812], [0.772, 0.127, 0.312], [0.873, 0.772, 0.688]],
  "total_energy_ev_per_atom": -5.32,
  "spacegroup": "No. 82",
  "e_form_raw_ev_per_atom": -1.2178
}

(6)
{
  "formula": "K3LiIr2O8",
  "functional": "PBE",
  "state": "optimized geometry",
  "lattice": [[5.867, 0.000, 0.000], [-2.934, 5.081, 0.000], [0.000, 0.000, 7.763]],
  "species": ["K", "K", "K", "Li", "Ir", "Ir", "O", "O", "O", "O", "O", "O", "O", "O"],
  "fractional_positions": [[0.000, 0.000, 0.000], [0.333, 0.667, 0.643], [0.667, 0.333, 0.357], [0.000, 0.000, 0.500], [0.333, 0.667, 0.213], [0.667, 0.333, 0.787], [0.171, 0.341, 0.320], [0.171, 0.829, 0.320], [0.333, 0.667, 0.982], [0.341, 0.171, 0.680], [0.659, 0.829, 0.320], [0.667, 0.333, 0.018], [0.829, 0.171, 0.680], [0.829, 0.659, 0.680]],
  "total_energy_ev_per_atom": -5.51,
  "spacegroup": "No. 164",
  "e_form_raw_ev_per_atom": -1.0352
}

(7)
{
  "formula": "KLiIrO3",
  "functional": "PBE",
  "state": "optimized geometry",
  "lattice": [[2.755, -5.080, 0.000], [2.755, 5.080, 0.000], [0.000, 0.000, 6.035]],
  "species": ["K", "K", "Li", "Li", "Ir", "Ir", "O", "O", "O", "O", "O", "O"],
  "fractional_positions": [[0.210, 0.790, 0.750], [0.790, 0.210, 0.250], [0.088, 0.912, 0.250], [0.912, 0.088, 0.750], [0.469, 0.531, 0.250], [0.531, 0.469, 0.750], [0.266, 0.266, 0.000], [0.266, 0.266, 0.500], [0.277, 0.723, 0.250], [0.723, 0.277, 0.750], [0.734, 0.734, 0.000], [0.734, 0.734, 0.500]],
  "total_energy_ev_per_atom": -5.50,
  "spacegroup": "No. 63",
  "e_form_raw_ev_per_atom": -1.0446
}

(8)
{
  "formula": "K2LiIrO6",
  "functional": "PBE",
  "state": "optimized geometry",
  "lattice": [[0.000, 4.068, 4.068], [4.068, 0.000, 4.068], [4.068, 4.068, 0.000]],
  "species": ["K", "K", "Li", "Ir", "O", "O", "O", "O", "O", "O"],
  "fractional_positions": [[0.250, 0.250, 0.250], [0.750, 0.750, 0.750], [0.000, 0.000, 0.000], [0.500, 0.500, 0.500], [0.270, 0.270, 0.730], [0.270, 0.730, 0.270], [0.270, 0.730, 0.730], [0.730, 0.270, 0.270], [0.730, 0.270, 0.730], [0.730, 0.730, 0.270]],
  "total_energy_ev_per_atom": -5.31,
  "spacegroup": "No. 225",
  "e_form_raw_ev_per_atom": -1.0380
}

(9)
{
  "formula": "K2Li3IrO6",
  "functional": "PBE",
  "state": "optimized geometry",
  "lattice": [[2.902, -5.917, 0.000], [2.902, 5.917, 0.000], [-1.866, 0.000, 4.752]],
  "species": ["K", "K", "Li", "Li", "Li", "Ir", "O", "O", "O", "O", "O", "O"],
  "fractional_positions": [[0.181, 0.819, 0.000], [0.819, 0.181, 0.000], [0.000, 0.000, 0.500], [0.398, 0.602, 0.500], [0.602, 0.398, 0.500], [0.500, 0.500, 0.000], [0.187, 0.416, 0.743], [0.284, 0.284, 0.213], [0.416, 0.187, 0.743], [0.584, 0.813, 0.257], [0.716, 0.716, 0.787], [0.813, 0.584, 0.257]],
  "total_energy_ev_per_atom": -5.21,
  "spacegroup": "No. 12",
  "e_form_raw_ev_per_atom": -1.3355
}

(10)
{
  "formula": "KLiIr2Pd",
  "functional": "PBE",
  "state": "optimized geometry",
  "lattice": [[4.335, 0.000, 0.000], [0.000, 4.335, 0.000], [0.000, 0.000, 4.536]],
  "species": ["K", "Li", "Ir", "Ir", "Pd"],
  "fractional_positions": [[0.000, 0.000, 0.000], [0.000, 0.000, 0.500], [0.000, 0.500, 0.500], [0.500, 0.000, 0.500], [0.500, 0.500, 0.000]],
  "delta_e_f_mev_per_atom": 1135,
  "total_energy_ev_per_atom": -4.05,
  "spacegroup": "No. 123"
}

(11)
{
  "formula": "KLiIr2Pt",
  "functional": "PBE",
  "state": "optimized geometry",
  "lattice": [[4.870, 0.000, 0.000], [0.000, 4.870, 0.000], [0.000, 0.000, 4.957]],
  "species": ["K", "Li", "Ir", "Ir", "Pt"],
  "fractional_positions": [[0.000, 0.000, 0.000], [0.500, 0.500, 0.000], [0.000, 0.500, 0.500], [0.500, 0.000, 0.500], [0.500, 0.500, 0.500]],
  "delta_e_f_mev_per_atom": 790,
  "total_energy_ev_per_atom": -4.56,
  "spacegroup": "No. 123"
}

(12)
{
  "formula": "KLiIr2Se",
  "functional": "PBE",
  "state": "optimized geometry",
  "lattice": [[4.459, 0.000, 0.000], [0.000, 4.459, 0.000], [0.000, 0.000, 4.646]],
  "species": ["K", "Li", "Ir", "Ir", "Se"],
  "fractional_positions": [[0.000, 0.000, 0.000], [0.500, 0.500, 0.500], [0.000, 0.500, 0.500], [0.500, 0.000, 0.500], [0.500, 0.500, 0.000]],
  "total_energy_ev_per_atom": -3.92,
  "spacegroup": "No. 123",
  "e_form_raw_ev_per_atom": 0.9194
}